Here is a relaxed ErTm2Cd3InGa2 crystal from OQMD via LeMat-Bulk. Energies are from PBE.

Output
Magnetic moment ... 0.00 μB/f.u.
DFT total energy ... -0.2378 Ry per atom

Unit cell a=4.4819 b=12.5782 c=7.2590 alpha=90.00 beta=90.00 gamma=90.00
With the nearest neighbours (Å) after each atom.
Space group Amm2 (No. 38)
Unique sites:
Er  0.0000  0.0000  0.0000 x2  4 Ga 3.10, 2 Cd 3.16, 1 In 3.18
Tm  0.0000  0.2188  0.3436 x4  4 Ga 3.10, 2 Cd 3.16, 1 In 3.18
Cd  0.5000  0.0000  0.3069 x2  2 Ga 2.75, 2 In 2.91
Cd  0.5000  0.1278  0.6902 x4  2 Ga 2.75, 2 In 2.91
In  0.0000  0.0000  0.5623 x2  6 Cd 2.91, 2 Tm 3.18, 1 Er 3.18
Ga  0.5000  0.1667  0.0624 x4  3 Cd 2.75